Record 1
First-principles (PBE) data for a relaxed RbPRu2 crystal, as listed in the Alexandria database.

Values from the calculation:
**VASP energy**: -45.30 eV/cell
**SG**: I4_1/amd

Cell lengths 8.712, 8.712, 8.712 Å; angles 146.68, 146.68, 47.84 degrees
Fractional coordinates of all 8 atoms:
Rb1 0.375 0.625 0.750
Rb2 0.625 0.375 0.250
P1 0.125 0.875 0.250
P2 0.875 0.125 0.750
Ru1 0.000 0.000 0.000
Ru2 0.000 0.000 0.500
Ru3 0.000 0.500 0.000
Ru4 0.500 0.000 0.500



Record 2
First-principles (PBE) data for a relaxed Cs2InHgPt crystal, as listed in the Alexandria database.

Values from the calculation:
**VASP energy**: -11.55 eV/cell
**SG**: P4/mmm

Cell lengths 6.770, 6.770, 5.198 Å; angles 90.00, 90.00, 90.00 degrees
Fractional coordinates of all 5 atoms:
Cs1 0.000 0.500 0.000
Cs2 0.500 0.000 0.000
In1 0.000 0.000 0.500
Hg1 0.500 0.500 0.500
Pt1 0.000 0.000 0.000



Record 3
First-principles (PBE) data for a relaxed Dy2Y3ScBi6 crystal, as listed in the Alexandria database.

Values from the calculation:
**VASP energy**: -68.28 eV/cell
**SG**: C2/m

Cell lengths 9.940, 9.940, 8.896 Å; angles 102.89, 102.89, 25.85 degrees
Fractional coordinates of all 12 atoms:
Dy1 0.166 0.166 0.332
Dy2 0.834 0.834 0.668
Y1 0.169 0.169 0.834
Y2 0.500 0.500 0.500
Y3 0.831 0.831 0.166
Sc1 0.500 0.500 0.000
Bi1 0.001 0.001 0.761
Bi2 0.333 0.333 0.417
Bi3 0.338 0.338 0.919
Bi4 0.662 0.662 0.081
Bi5 0.667 0.667 0.583
Bi6 0.999 0.999 0.239



Record 4
First-principles (PBE) data for a relaxed V2Mo4Ru crystal, as listed in the Alexandria database.

Values from the calculation:
**VASP energy**: -61.09 eV/cell
**SG**: I4/mmm

Cell lengths 6.960, 6.960, 6.960 Å; angles 141.16, 141.16, 56.10 degrees
Fractional coordinates of all 7 atoms:
V1 0.122 0.122 0.000
V2 0.878 0.878 0.000
Mo1 0.000 0.500 0.500
Mo2 0.298 0.298 0.000
Mo3 0.500 0.000 0.500
Mo4 0.702 0.702 0.000
Ru1 0.500 0.500 0.000